VASP calculation (PBE) on LaHfZnIr2 after structural relaxation.

Output
* ΔH_f (0 K): -702 meV/atom
* total magnetic moment: 0.00 Bohr magnetons per cell
* total energy: -7.48 eV/atom

The structure in CIF format:
```
data_LaHfZnIr2
_space_group_name_H-M_alt 'I -4 m 2'
_space_group_IT_number 119
_space_group_name_Hall 'I -4 -2'
_cell_length_a 4.153
_cell_length_b 4.153
_cell_length_c 11.983
_cell_angle_alpha 90.00
_cell_angle_beta 90.00
_cell_angle_gamma 90.00
loop_
_atom_site_label
_atom_site_type_symbol
_atom_site_fract_x
_atom_site_fract_y
_atom_site_fract_z
La1 La 0.000 0.000 0.000
Hf1 Hf 0.000 0.500 0.750
Zn1 Zn 0.000 0.500 0.250
Ir1 Ir 0.000 0.000 0.390
```

***

VASP calculation (PBE) on La2HfZnIr after structural relaxation.

Output
* ΔH_f (0 K): 557 meV/atom
* total magnetic moment: 0.00 Bohr magnetons per cell
* total energy: -5.43 eV/atom

The structure in CIF format:
```
data_La2HfZnIr
_space_group_name_H-M_alt 'P 4/m m m'
_space_group_IT_number 123
_space_group_name_Hall '-P 4 2'
_cell_length_a 5.791
_cell_length_b 5.791
_cell_length_c 4.784
_cell_angle_alpha 90.00
_cell_angle_beta 90.00
_cell_angle_gamma 90.00
loop_
_atom_site_label
_atom_site_type_symbol
_atom_site_fract_x
_atom_site_fract_y
_atom_site_fract_z
La1 La 0.000 0.500 0.000
Hf1 Hf 0.000 0.000 0.000
Zn1 Zn 0.500 0.500 0.500
Ir1 Ir 0.000 0.000 0.500
```

***

VASP calculation (PBE) on LaHf2ZrIr after structural relaxation.

Output
* ΔH_f (0 K): 1760 meV/atom
* total magnetic moment: 0.00 Bohr magnetons per cell
* total energy: -6.69 eV/atom

The structure in CIF format:
```
data_LaHf2ZrIr
_space_group_name_H-M_alt 'P 4/m m m'
_space_group_IT_number 123
_space_group_name_Hall '-P 4 2'
_cell_length_a 5.032
_cell_length_b 5.032
_cell_length_c 4.950
_cell_angle_alpha 90.00
_cell_angle_beta 90.00
_cell_angle_gamma 90.00
loop_
_atom_site_label
_atom_site_type_symbol
_atom_site_fract_x
_atom_site_fract_y
_atom_site_fract_z
La1 La 0.000 0.000 0.000
Hf1 Hf 0.000 0.500 0.000
Zr1 Zr 0.000 0.000 0.500
Ir1 Ir 0.500 0.500 0.500
```